Compound: Li4V2SiGeO10
Source: Alexandria
Functional: PBE+U
Structure: optimized geometry

```
Li4V2SiGeO10
1.0
4.5719 0.0000 0.0000
0.0000 6.5102 0.0000
0.0000 0.0000 6.5102
Li V Si Ge O
4 2 1 1 10
Cartesian
2.2859 4.9177 4.9177
2.2859 1.5925 4.9177
2.2859 4.9177 1.5925
2.2859 1.5925 1.5925
0.4073 3.2551 0.0000
4.1646 0.0000 3.2551
0.0000 0.0000 0.0000
0.0000 3.2551 3.2551
3.2990 3.2551 0.0000
1.2729 0.0000 3.2551
3.5921 0.0000 5.1813
0.9798 1.3289 0.0000
0.9798 5.1813 0.0000
3.5921 0.0000 1.3289
1.0775 3.2551 1.8547
3.4943 4.6555 3.2551
3.4943 1.8547 3.2551
1.0775 3.2551 4.6555
```

Summary:
SG = P-4m2 (115)
DFT total energy = -6.741 eV per atom
total magnetization = 2.0 μB/f.u.
theoretical density = 3.35 g/cm3
DOS(E_F) = 0.000 states/eV per cell